1.
BaCa2CuHg | GGA-PBE | optimized geometry

The calculation puts the raw total energy at -2.135 eV/atom. As for the volume: 33.202 A^3/atom.

It has space group P4/mmm (No. 123), with a = 5.6260 Å, b = 5.6260 Å, c = 5.2447 Å, α = 90.00°, β = 90.00° and γ = 90.00°. The asymmetric unit holds Ba at (0.0000, 0.0000, 0.0000), Ca at (0.0000, 0.5000, 0.5000), Cu at (0.5000, 0.5000, 0.5000) and Hg at (0.5000, 0.5000, 0.0000).


2.
Ba2Ca2Cu3HgO8 | GGA-PBE | optimized geometry

The calculation puts the raw total energy at -5.444 eV/atom. As for the volume: 15.433 A^3/atom. As for the formation energy without anion corrections: -1.687 eV per atom.

It has space group P4/mmm (No. 123), with a = 3.8964 Å, b = 3.8964 Å, c = 16.2644 Å, α = 90.00°, β = 90.00° and γ = 90.00°. The asymmetric unit holds Ba at (0.0000, 0.0000, 0.1847), Ca at (0.0000, 0.0000, 0.4012), Cu at (0.5000, 0.5000, 0.3093), Cu at (0.5000, 0.5000, 0.5000), Hg at (0.5000, 0.5000, 0.0000), O at (0.0000, 0.5000, 0.3045), O at (0.0000, 0.5000, 0.5000) and O at (0.5000, 0.5000, 0.1237).


3.
Ba2Ca3Cu4HgO10 | GGA-PBE | optimized geometry

The calculation puts the raw total energy at -5.510 eV/atom. As for the volume: 14.747 A^3/atom. As for the formation energy without anion corrections: -1.704 eV per atom.

It has space group P4/mmm (No. 123), with a = 3.8916 Å, b = 3.8916 Å, c = 19.4748 Å, α = 90.00°, β = 90.00° and γ = 90.00°. The asymmetric unit holds Ba at (0.0000, 0.0000, 0.1544), Ca at (0.0000, 0.0000, 0.3351), Ca at (0.0000, 0.0000, 0.5000), Cu at (0.5000, 0.5000, 0.2585), Cu at (0.5000, 0.5000, 0.4171), Hg at (0.5000, 0.5000, 0.0000), O at (0.0000, 0.5000, 0.2546), O at (0.0000, 0.5000, 0.4179) and O at (0.5000, 0.5000, 0.1033).